Here is an optimized crystal structure of Pm5Se2S2 from Alexandria via LeMat-Bulk. Energies are from PBE.

a b c (Å): 8.240 8.240 7.771
angles (deg): 90.00 90.00 55.78
Fractional positions:
1 Pm 0.000 0.000 0.000
2 Pm 0.019 0.699 0.649
3 Pm 0.199 0.519 0.149
4 Pm 0.301 0.981 0.649
5 Pm 0.481 0.801 0.149
6 Pm 0.500 0.500 0.500
7 Pm 0.519 0.199 0.851
8 Pm 0.699 0.019 0.351
9 Pm 0.801 0.481 0.851
10 Pm 0.981 0.301 0.351
11 Se 0.146 0.854 0.353
12 Se 0.354 0.646 0.853
13 Se 0.646 0.354 0.147
14 Se 0.854 0.146 0.647
15 S 0.194 0.194 0.000
16 S 0.306 0.306 0.500
17 S 0.694 0.694 0.500
18 S 0.806 0.806 0.000

DFT total energy ... -104.75 eV for the cell shown
Formation energy from raw total energies ... -1.4887 eV/atom
Calculated density ... 7.21 g/cm³

Here is an optimized crystal structure of Na2TlHgF6 from Alexandria via LeMat-Bulk. Energies are from PBE.

a b c (Å): 6.038 6.162 10.506
angles (deg): 90.00 124.15 90.00
Fractional positions:
1 Na 0.233 0.045 0.230
2 Na 0.233 0.455 0.730
3 Na 0.767 0.545 0.270
4 Na 0.767 0.955 0.770
5 Tl 0.500 0.000 0.000
6 Tl 0.500 0.500 0.500
7 Hg 0.000 0.000 0.500
8 Hg 0.000 0.500 0.000
9 F 0.111 0.171 0.951
10 F 0.111 0.329 0.451
11 F 0.223 0.683 0.906
12 F 0.223 0.817 0.406
13 F 0.395 0.100 0.753
14 F 0.395 0.400 0.253
15 F 0.605 0.600 0.747
16 F 0.605 0.900 0.247
17 F 0.777 0.183 0.594
18 F 0.777 0.317 0.094
19 F 0.889 0.671 0.549
20 F 0.889 0.829 0.049

Relative energy among the computed polymorphs ... 0.00 eV per formula unit
DFT total energy ... -73.63 eV for the cell shown
Formation energy from raw total energies ... -2.0282 eV/atom
Calculated density ... 5.80 g/cm³

Here is an optimized crystal structure of AcPm2NdSm4 from Alexandria via LeMat-Bulk. Energies are from PBE.

a b c (Å): 9.718 9.718 7.059
angles (deg): 111.21 111.21 88.02
Fractional positions:
1 Ac 0.000 0.500 0.000
2 Ac 0.500 0.000 0.500
3 Pm 0.000 0.000 0.000
4 Pm 0.000 0.000 0.500
5 Pm 0.000 0.500 0.500
6 Pm 0.500 0.000 0.000
7 Nd 0.500 0.500 0.000
8 Nd 0.500 0.500 0.500
9 Sm 0.240 0.257 0.440
10 Sm 0.249 0.751 0.514
11 Sm 0.249 0.751 0.986
12 Sm 0.257 0.240 0.940
13 Sm 0.743 0.760 0.060
14 Sm 0.751 0.249 0.014
15 Sm 0.751 0.249 0.486
16 Sm 0.760 0.743 0.560

DFT total energy ... -68.27 eV for the cell shown
Calculated formation energy ... 3.12 eV/f.u.
Calculated density ... 7.28 g/cm³

Here is an optimized crystal structure of Mg3GaNi from Alexandria via LeMat-Bulk. Energies are from PBE.

a b c (Å): 6.314 6.314 6.695
angles (deg): 120.48 120.48 76.65
Fractional positions:
1 Mg 0.051 0.051 0.266
2 Mg 0.096 0.471 0.826
3 Mg 0.471 0.096 0.826
4 Mg 0.529 0.904 0.174
5 Mg 0.904 0.529 0.174
6 Mg 0.949 0.949 0.734
7 Ga 0.421 0.421 0.611
8 Ga 0.579 0.579 0.389
9 Ni 0.271 0.271 0.148
10 Ni 0.729 0.729 0.852

Relative energy among the computed polymorphs ... 0.00 eV per formula unit
DFT total energy ... -28.32 eV for the cell shown
Calculated formation energy ... -0.57 eV/f.u.
Calculated density ... 3.38 g/cm³

Here is an optimized crystal structure of In2SbMo from Alexandria via LeMat-Bulk. Energies are from PBE.

a b c (Å): 10.511 10.511 10.511
angles (deg): 17.93 17.93 17.93
Fractional positions:
1 In 0.000 0.000 0.000
2 In 0.244 0.244 0.244
3 Sb 0.776 0.776 0.776
4 Mo 0.507 0.507 0.507

DFT total energy ... -19.57 eV for the cell shown
Formation energy from raw total energies ... 0.2143 eV/atom
Calculated density ... 7.73 g/cm³

Here is an optimized crystal structure of KPrAgCl6 from Alexandria via LeMat-Bulk. Energies are from PBE.

a b c (Å): 7.019 7.019 13.873
angles (deg): 90.00 90.00 120.00
Fractional positions:
1 K 0.000 0.000 0.000
2 K 0.000 0.000 0.500
3 Pr 0.333 0.667 0.250
4 Pr 0.667 0.333 0.750
5 Ag 0.333 0.667 0.750
6 Ag 0.667 0.333 0.250
7 Cl 0.014 0.376 0.638
8 Cl 0.014 0.638 0.862
9 Cl 0.362 0.376 0.862
10 Cl 0.362 0.986 0.638
11 Cl 0.376 0.014 0.138
12 Cl 0.376 0.362 0.362
13 Cl 0.624 0.638 0.638
14 Cl 0.624 0.986 0.862
15 Cl 0.638 0.014 0.362
16 Cl 0.638 0.624 0.138
17 Cl 0.986 0.362 0.138
18 Cl 0.986 0.624 0.362

DFT total energy ... -67.12 eV for the cell shown
Formation energy from raw total energies ... -1.5277 eV/atom
Calculated density ... 2.81 g/cm³